1.
The following is a PBE-GGA calculation of crystalline Ho12Tm5Th2 at its relaxed geometry, from Alexandria via LeMat-Bulk.

The structure in POSCAR format:
```
Ho12Tm5Th2
1.0
-9.2054 1.2678 0.4405
3.8444 -8.8461 7.5703
1.1472 8.3436 -0.0396
Ho Tm Th
12 5 2
Cartesian
0.2033 0.9970 1.3799 Ho
3.4931 1.7067 5.2002 Ho
-2.4001 2.5183 5.4822 Ho
1.6651 -3.0198 5.7113 Ho
-1.8751 -2.5322 5.8807 Ho
-3.7834 6.2816 1.0857 Ho
-0.4303 -5.5163 6.8854 Ho
-5.8788 3.7851 2.2598 Ho
-2.3387 3.2975 2.0904 Ho
-7.7069 -0.9414 2.7709 Ho
-1.8136 -1.7530 2.4889 Ho
-4.4171 -0.2317 6.5912 Ho
0.2517 0.1853 4.7267 Tm
0.6667 3.5953 3.5852 Tm
0.5736 4.1718 -0.0198 Tm
-4.8804 -2.8299 4.3859 Tm
-4.4654 0.5800 3.2444 Tm
-6.2589 0.8620 0.2995 Th
-2.9465 0.4058 0.1410 Th
```

Spin magnetization ... 0.000 μB per atom
Symmetry ... C2/m
Crystal system ... monoclinic


2.
The following is a PBE-GGA calculation of crystalline AcP3Pd3 at its relaxed geometry, from Alexandria via LeMat-Bulk.

The structure in POSCAR format:
```
AcP3Pd3
1.0
4.4761 0.0000 0.0000
0.0000 8.4719 0.0000
0.0000 -4.2360 7.3369
Ac P Pd
2 6 6
Cartesian
1.1190 4.2360 2.4456 Ac
3.3571 0.0000 4.8913 Ac
3.3571 1.8197 2.1249 P
3.3571 5.1664 4.6986 P
1.1190 -1.4859 6.8235 P
3.3571 5.7219 0.5134 P
1.1190 -0.9304 2.6383 P
1.1190 2.4163 5.2120 P
3.3571 -2.4291 7.0200 Pd
3.3571 3.0581 5.9306 Pd
1.1190 4.8649 5.6137 Pd
3.3571 -0.6289 1.7233 Pd
1.1190 1.1779 1.4063 Pd
1.1190 6.6651 0.3170 Pd
```

Spin magnetization ... 0.000 μB per atom
Symmetry ... P6_3/m
Crystal system ... hexagonal


Results for E: -4.697, -5.787 (in eV/atom, following the order of the records).
Results for formation enthalpy at 0 K: 0.152, -0.656 (in eV per atom, following the order of the records).